No. 1
VCr3Pt: optimized geometry, PBE.

Cell lengths 4.839, 4.839, 4.839 Å; angles 90.00, 90.00, 90.00 degrees
Element x y z (fractional)
V 0.000 0.000 0.000
Cr 0.000 0.500 0.500
Cr 0.500 0.000 0.500
Cr 0.500 0.500 0.000
Pt 0.500 0.500 0.500

ΔH_f (0 K): 1.534 eV per atom
E above lowest polymorph: 417.4 meV per atom
magnetization: 3.05 μB per atom

No. 2
LiCdOs3: optimized geometry, PBE.

Cell lengths 4.210, 4.210, 4.210 Å; angles 90.00, 90.00, 90.00 degrees
Element x y z (fractional)
Li 0.000 0.000 0.000
Cd 0.500 0.500 0.500
Os 0.000 0.000 0.500
Os 0.000 0.500 0.000
Os 0.500 0.000 0.000

ΔH_f (0 K): 1.502 eV per atom
E above lowest polymorph: 0.0 meV per atom
magnetization: 0.44 μB per atom

No. 3
GeTePI2: optimized geometry, PBE.

Cell lengths 5.672, 5.672, 5.652 Å; angles 90.00, 90.00, 90.00 degrees
Element x y z (fractional)
Ge 0.000 0.000 0.000
Te 0.000 0.000 0.500
P 0.500 0.500 0.500
I 0.000 0.500 0.000
I 0.500 0.000 0.000

raw formation energy: 0.76 eV per atom
E above lowest polymorph: 257.2 meV per atom
magnetization: 0.29 μB per atom

No. 4
TlPdPt4: optimized geometry, PBE.

Cell lengths 5.338, 5.338, 5.338 Å; angles 60.00, 60.00, 60.00 degrees
Element x y z (fractional)
Tl 0.000 0.000 0.000
Pd 0.250 0.250 0.250
Pt 0.126 0.625 0.625
Pt 0.625 0.126 0.625
Pt 0.625 0.625 0.126
Pt 0.625 0.625 0.625

ΔH_f (0 K): 0.113 eV per atom
magnetization: 0.00 μB per atom

No. 5
MnCd3Pd4: optimized geometry, PBE.

Cell lengths 3.071, 3.071, 14.327 Å; angles 90.00, 90.00, 90.00 degrees
Element x y z (fractional)
Mn 0.000 0.000 0.000
Cd 0.000 0.000 0.241
Cd 0.000 0.000 0.500
Cd 0.000 0.000 0.759
Pd 0.500 0.500 0.109
Pd 0.500 0.500 0.370
Pd 0.500 0.500 0.630
Pd 0.500 0.500 0.891

ΔH_f (0 K): -0.350 eV per atom
magnetization: 0.54 μB per atom

No. 6
Th3Ge3Rh2: optimized geometry, PBE.

Cell lengths 5.877, 5.877, 15.318 Å; angles 90.00, 90.00, 136.99 degrees
Element x y z (fractional)
Th 0.095 0.905 0.750
Th 0.368 0.632 0.595
Th 0.368 0.632 0.905
Th 0.632 0.368 0.095
Th 0.632 0.368 0.405
Th 0.905 0.095 0.250
Ge 0.093 0.907 0.548
Ge 0.093 0.907 0.952
Ge 0.186 0.814 0.250
Ge 0.814 0.186 0.750
Ge 0.907 0.093 0.048
Ge 0.907 0.093 0.452
Rh 0.350 0.650 0.123
Rh 0.350 0.650 0.377
Rh 0.650 0.350 0.623
Rh 0.650 0.350 0.877

ΔH_f (0 K): -0.905 eV per atom
magnetization: 0.00 μB per atom

No. 7
BeSnF2: optimized geometry, PBE.

Cell lengths 9.580, 9.580, 9.580 Å; angles 17.27, 17.27, 17.27 degrees
Element x y z (fractional)
Be 0.000 0.000 0.000
Sn 0.500 0.500 0.500
F 0.363 0.363 0.363
F 0.637 0.637 0.637

raw formation energy: -1.89 eV per atom
E above lowest polymorph: 66.9 meV per atom
magnetization: 0.00 μB per atom

No. 8
Ac3Lu: optimized geometry, PBE.

Cell lengths 3.762, 3.788, 11.951 Å; angles 90.00, 90.00, 90.00 degrees
Element x y z (fractional)
Ac 0.000 0.000 0.000
Ac 0.000 0.500 0.287
Ac 0.500 0.500 0.756
Lu 0.500 0.000 0.499

ΔH_f (0 K): 0.252 eV per atom
magnetization: 0.00 μB per atom